[1]
# TmSbPbSe3

Crystalline TmSbPbSe3 at its relaxed geometry (PBE, the Open Quantum Materials Database).

Values from the calculation:
ρ ... 7.13 g cm⁻³
SG ... Cmcm
Electronic total energy ... -4.618 eV/atom

The structure in POSCAR format:
```
TmSbPbSe3
1.0
-3.213 6.929 -0.705
-0.461 -7.328 2.220
3.994 2.917 10.458
Pb Sb Se Tm
2 2 6 2
Direct
0.173 0.827 0.250
0.827 0.173 0.750
0.854 0.146 0.250
0.146 0.854 0.750
0.866 0.134 0.007
0.512 0.488 0.250
0.866 0.134 0.493
0.134 0.866 0.507
0.488 0.512 0.750
0.134 0.866 0.993
0.500 0.500 0.000
0.500 0.500 0.500
```

[2]
# SmSbTe3Pb

Crystalline SmSbTe3Pb at its relaxed geometry (PBE, the Open Quantum Materials Database).

Values from the calculation:
ρ ... 7.69 g cm⁻³
SG ... Cmcm
Electronic total energy ... -4.171 eV/atom

The structure in POSCAR format:
```
SmSbTe3Pb
1.0
2.102 -8.103 0.000
2.102 8.103 0.000
0.000 0.000 10.936
Pb Sb Sm Te
2 2 2 6
Direct
0.209 0.791 0.250
0.791 0.209 0.750
0.515 0.485 0.250
0.485 0.515 0.750
0.000 0.000 0.000
0.000 0.000 0.500
0.652 0.348 0.031
0.878 0.122 0.250
0.652 0.348 0.469
0.348 0.652 0.531
0.122 0.878 0.750
0.348 0.652 0.969
```

[3]
# TaSbPb

Crystalline TaSbPb at its relaxed geometry (PBE, the Open Quantum Materials Database).

Values from the calculation:
Energy above the most stable polymorph in this dataset ... 289.5 meV per atom
ρ ... 10.29 g cm⁻³
SG ... F-43m

The structure in POSCAR format:
```
TaSbPb
1.0
2.552 1.332 3.943
-1.795 3.366 3.046
-1.528 -1.302 4.450
Pb Sb Ta
1 1 1
Direct
0.250 0.250 0.250
0.000 0.000 0.000
0.750 0.750 0.750
```

[4]
# TbSb3Pb2

Crystalline TbSb3Pb2 at its relaxed geometry (PBE, the Open Quantum Materials Database).

Values from the calculation:
ρ ... 8.21 g cm⁻³
SG ... P-3m1
Electronic total energy ... -3.927 eV/atom

The structure in POSCAR format:
```
TbSb3Pb2
1.0
6.152 0.000 0.000
-3.076 5.328 0.000
0.000 0.000 5.790
Pb Sb Tb
2 3 1
Direct
0.667 0.333 0.497
0.333 0.667 0.503
0.500 0.000 0.000
0.000 0.500 0.000
0.500 0.500 0.000
0.000 0.000 0.500
```

[5]
# TcSbPb

Crystalline TcSbPb at its relaxed geometry (PBE, the Open Quantum Materials Database).

Values from the calculation:
Energy above the most stable polymorph in this dataset ... 0.0 meV per atom
ρ ... 9.92 g cm⁻³
SG ... F-43m

The structure in POSCAR format:
```
TcSbPb
1.0
0.570 1.766 4.273
-2.714 -1.446 3.499
1.786 -2.644 3.394
Pb Sb Tc
1 1 1
Direct
0.250 0.250 0.250
0.750 0.750 0.750
0.000 0.000 0.000
```

[6]
# TmSbTe3Pb

Crystalline TmSbTe3Pb at its relaxed geometry (PBE, the Open Quantum Materials Database).

Values from the calculation:
ρ ... 7.98 g cm⁻³
SG ... Cmcm
Electronic total energy ... -4.061 eV/atom

The structure in POSCAR format:
```
TmSbTe3Pb
1.0
-7.213 1.972 3.145
6.462 -4.900 -0.176
5.014 6.343 7.524
Pb Sb Te Tm
2 2 6 2
Direct
0.777 0.223 0.250
0.223 0.777 0.750
0.466 0.534 0.250
0.534 0.466 0.750
0.355 0.645 0.021
0.114 0.886 0.250
0.355 0.645 0.479
0.645 0.355 0.521
0.886 0.114 0.750
0.645 0.355 0.979
0.000 0.000 0.000
0.000 0.000 0.500
```